Entry from the Alexandria database: GdLuGaPt after structural relaxation (GGA-PBE).

abc: 4.9811 4.9811 4.9811
angles: 60.00 60.00 60.00
Last column: nearest neighbours and their distance in Å.
Fractional positions:
Ga 0.2500 0.2500 0.2500  4 Gd 3.05, 4 Lu 3.05
Pt 0.7500 0.7500 0.7500  4 Gd 3.05, 4 Lu 3.05
Gd 0.5000 0.5000 0.5000  4 Pt 3.05, 4 Ga 3.05
Lu 0.0000 0.0000 0.0000  4 Pt 3.05, 4 Ga 3.05

## Properties
- DFT formation energy: -869 meV per atom
- Crystal system: cubic
- Raw total energy: -7.79 eV/atom